[1]
Below is a relaxed CeTiVN3 crystal, with properties calculated at the PBE level.

Geometry as CIF:
```
data_CeTiVN3
_chemical_formula_sum 'Ce2 Ti2 V2 N6'
_cell_length_a 5.439
_cell_length_b 3.134
_cell_length_c 8.121
_cell_angle_alpha 90.00
_cell_angle_beta 103.53
_cell_angle_gamma 90.00
_symmetry_space_group_name_H-M 'P 1 21/m 1'
_symmetry_Int_Tables_number 11
loop_
_symmetry_equiv_pos_as_xyz
'x,y,z'
'-x,-y,-z'
'-x,y+1/2,-z'
'x,-y+1/2,z'
loop_
_atom_site_label
_atom_site_type_symbol
_atom_site_fract_x
_atom_site_fract_y
_atom_site_fract_z
Ce1 Ce 0.147 0.250 0.195
Ti1 Ti 0.268 0.750 0.555
V1 V 0.379 0.250 0.866
N1 N 0.066 0.250 0.655
N2 N 0.265 0.750 0.985
N3 N 0.469 0.750 0.348
```

Properties
The energy is -9.424 eV/atom. Its crystal system is monoclinic. The value obtained for the density is 6.934 g/cm3. The uncorrected formation energy is -1.437 eV/atom.

***

[2]
Below is a relaxed SmAuBr crystal, with properties calculated at the PBE level.

Geometry as CIF:
```
data_SmAuBr
_chemical_formula_sum 'Sm2 Au2 Br2'
_cell_length_a 5.564
_cell_length_b 4.451
_cell_length_c 7.659
_cell_angle_alpha 90.00
_cell_angle_beta 109.68
_cell_angle_gamma 90.00
_symmetry_space_group_name_H-M 'P 1 21/m 1'
_symmetry_Int_Tables_number 11
loop_
_symmetry_equiv_pos_as_xyz
'x,y,z'
'-x,-y,-z'
'-x,y+1/2,-z'
'x,-y+1/2,z'
loop_
_atom_site_label
_atom_site_type_symbol
_atom_site_fract_x
_atom_site_fract_y
_atom_site_fract_z
Sm1 Sm 0.043 0.250 0.289
Au1 Au 0.345 0.750 0.517
Br1 Br 0.235 0.250 0.962
```

Properties
The energy is -4.309 eV/atom. Its crystal system is monoclinic. The value obtained for the density is 7.946 g/cm3. The uncorrected formation energy is -1.086 eV/atom.

***

[3]
Below is a relaxed Ac5Pr3Nd2 crystal, with properties calculated at the PBE level.

Geometry as CIF:
```
data_Ac5Pr3Nd2
_chemical_formula_sum 'Ac10 Pr6 Nd4'
_cell_length_a 12.176
_cell_length_b 5.459
_cell_length_c 12.137
_cell_angle_alpha 90.00
_cell_angle_beta 90.27
_cell_angle_gamma 90.00
_symmetry_space_group_name_H-M 'C 1 2/m 1'
_symmetry_Int_Tables_number 12
loop_
_symmetry_equiv_pos_as_xyz
'x,y,z'
'-x,-y,-z'
'-x,y,-z'
'x,-y,z'
'x+1/2,y+1/2,z'
'-x+1/2,-y+1/2,-z'
'-x+1/2,y+1/2,-z'
'x+1/2,-y+1/2,z'
loop_
_atom_site_label
_atom_site_type_symbol
_atom_site_fract_x
_atom_site_fract_y
_atom_site_fract_z
Ac1 Ac 0.000 0.000 0.000
Ac2 Ac 0.197 0.000 0.401
Ac3 Ac 0.198 0.500 0.897
Pr1 Pr 0.000 0.500 0.500
Pr2 Pr 0.099 0.000 0.699
Nd1 Nd 0.101 0.500 0.204
```

Properties
The formation energy is 0.0306 eV per atom. The energy is -4.411 eV/atom. Its crystal system is monoclinic. The value obtained for the density is 7.600 g/cm3.

***

[4]
Below is a relaxed AcCeRh2 crystal, with properties calculated at the PBE level.

Geometry as CIF:
```
data_AcCeRh2
_chemical_formula_sum 'Ac4 Ce4 Rh8'
_cell_length_a 7.196
_cell_length_b 7.196
_cell_length_c 7.196
_cell_angle_alpha 90.00
_cell_angle_beta 90.00
_cell_angle_gamma 90.00
_symmetry_space_group_name_H-M 'F m -3 m'
_symmetry_Int_Tables_number 225
_symmetry_space_group_name_Hall '-F 4 2 3'
loop_
_atom_site_label
_atom_site_type_symbol
_atom_site_fract_x
_atom_site_fract_y
_atom_site_fract_z
Ac1 Ac 0.000 0.000 0.000
Ce1 Ce 0.000 0.000 0.500
Rh1 Rh 0.250 0.250 0.250
```

Properties
The formation energy is -0.5723 eV per atom. The energy is -6.759 eV/atom. Its crystal system is cubic. The value obtained for the density is 10.213 g/cm3.

***

[5]
Below is a relaxed MgOs2Br crystal, with properties calculated at the PBE level.

Geometry as CIF:
```
data_MgOs2Br
_chemical_formula_sum 'Mg1 Os2 Br1'
_cell_length_a 2.878
_cell_length_b 2.878
_cell_length_c 7.873
_cell_angle_alpha 90.00
_cell_angle_beta 90.00
_cell_angle_gamma 90.00
_symmetry_space_group_name_H-M 'P 4/m m m'
_symmetry_Int_Tables_number 123
_symmetry_space_group_name_Hall '-P 4 2'
loop_
_atom_site_label
_atom_site_type_symbol
_atom_site_fract_x
_atom_site_fract_y
_atom_site_fract_z
Mg1 Mg 0.000 0.000 0.000
Os1 Os 0.500 0.500 0.254
Br1 Br 0.000 0.000 0.500
```

Properties
The energy is -5.287 eV/atom. Its crystal system is tetragonal. The value obtained for the density is 12.338 g/cm3. The uncorrected formation energy is 1.145 eV/atom.

***

[6]
Below is a relaxed La2NiW crystal, with properties calculated at the PBE level.

Geometry as CIF:
```
data_La2NiW
_chemical_formula_sum 'La6 Ni3 W3'
_cell_length_a 3.6194
_cell_length_b 3.6194
_cell_length_c 25.2453
_cell_angle_alpha 90.00
_cell_angle_beta 90.00
_cell_angle_gamma 120.00
_symmetry_space_group_name_H-M 'R -3 m'
_symmetry_Int_Tables_number 166
_symmetry_space_group_name_Hall '-R 3 2"'
loop_
_atom_site_label
_atom_site_type_symbol
_atom_site_fract_x
_atom_site_fract_y
_atom_site_fract_z
La1 La 0.0000 0.0000 0.2447
Ni1 Ni 0.0000 0.0000 0.5000
W1 W 0.0000 0.0000 0.0000
```

Properties
The formation energy is 0.6181 eV per atom. The energy is -6.529 eV/atom. Its crystal system is trigonal. The value obtained for the density is 9.051 g/cm3.

***

[7]
Below is a relaxed NiSb2Au crystal, with properties calculated at the PBE level.

Geometry as CIF:
```
data_NiSb2Au
_chemical_formula_sum 'Ni4 Sb8 Au4'
_cell_length_a 6.934
_cell_length_b 6.934
_cell_length_c 6.934
_cell_angle_alpha 90.00
_cell_angle_beta 90.00
_cell_angle_gamma 90.00
_symmetry_space_group_name_H-M 'F -4 3 m'
_symmetry_Int_Tables_number 216
_symmetry_space_group_name_Hall 'F -4 2 3'
loop_
_atom_site_label
_atom_site_type_symbol
_atom_site_fract_x
_atom_site_fract_y
_atom_site_fract_z
Ni1 Ni 0.000 0.000 0.000
Sb1 Sb 0.000 0.000 0.500
Sb2 Sb 0.250 0.250 0.250
Au1 Au 0.250 0.250 0.750
```

Properties
The energy is -3.941 eV/atom. Its crystal system is cubic. The value obtained for the density is 9.945 g/cm3. The uncorrected formation energy is 0.385 eV/atom.

***

[8]
Below is a relaxed K2HfPO6 crystal, with properties calculated at the PBE level.

Geometry as CIF:
```
data_K2HfPO6
_chemical_formula_sum 'K2 Hf1 P1 O6'
_cell_length_a 6.1665
_cell_length_b 6.1665
_cell_length_c 5.2043
_cell_angle_alpha 90.00
_cell_angle_beta 90.00
_cell_angle_gamma 120.00
_symmetry_space_group_name_H-M 'P -3 m 1'
_symmetry_Int_Tables_number 164
_symmetry_space_group_name_Hall '-P 3 2"'
loop_
_atom_site_label
_atom_site_type_symbol
_atom_site_fract_x
_atom_site_fract_y
_atom_site_fract_z
K1 K 0.3333 0.6667 0.3826
Hf1 Hf 0.0000 0.0000 0.0000
P1 P 0.0000 0.0000 0.5000
O1 O 0.1307 0.2613 0.6999
```

Properties
The energy is -6.823 eV/atom. Its crystal system is trigonal. The value obtained for the density is 3.717 g/cm3. The uncorrected formation energy is -2.093 eV/atom.

***

> Which of these has the lowest energy?

CeTiVN3